Record 1
Entry from Alexandria via LeMat-Bulk: an optimized crystal structure of KCrSeN2 (PBE).

Cell lengths 4.723, 4.723, 6.173 Å; angles 90.00, 90.00, 90.00 degrees
Element x y z (fractional)
N 0.000 0.500 0.000
N 0.500 0.000 0.000
Se 0.000 0.000 0.500
Cr 0.500 0.500 0.500
K 0.000 0.000 0.000

Output
Energy relative to the lowest polymorph listed for this composition   1.784 eV/atom
Space-group type   P4/mmm, No. 123
ρ   2.4 g/cm³
Magnetic moment   0.20 μB per atom



Record 2
Entry from Alexandria via LeMat-Bulk: an optimized crystal structure of TbPm2Nd4Sm2 (PBE).

Cell lengths 5.167, 8.163, 8.147 Å; angles 107.58, 90.00, 108.45 degrees
Element x y z (fractional)
Nd 0.555 0.110 0.332
Nd 0.445 0.890 0.668
Nd 0.778 0.556 0.668
Nd 0.222 0.444 0.332
Sm 0.666 0.333 0.000
Sm 0.334 0.667 0.000
Tb 0.000 0.000 0.000
Pm 0.889 0.778 0.332
Pm 0.111 0.222 0.668

Output
Space-group type   C2/m, No. 12
ρ   7.1 g/cm³
Magnetic moment   0.00 μB per atom
ΔH_f (0 K)   0.0137 eV per atom



Record 3
Entry from Alexandria via LeMat-Bulk: an optimized crystal structure of Tl2HgSb2Pb (PBE).

Cell lengths 6.958, 7.123, 9.380 Å; angles 112.31, 111.77, 90.00 degrees
Element x y z (fractional)
Pb 0.000 0.250 0.000
Pb 0.000 0.750 0.000
Tl 0.062 0.325 0.650
Tl 0.412 0.175 0.350
Tl 0.938 0.675 0.350
Tl 0.588 0.825 0.650
Sb 0.162 0.881 0.762
Sb 0.600 0.381 0.762
Sb 0.838 0.119 0.238
Sb 0.400 0.619 0.238
Hg 0.500 0.250 0.000
Hg 0.500 0.750 0.000

Output
Space-group type   Ibam, No. 72
ρ   8.9 g/cm³
Magnetic moment   0.00 μB per atom
Final energy   -2.80 eV/atom



Record 4
Entry from Alexandria via LeMat-Bulk: an optimized crystal structure of Ba5H5N (PBE).

Cell lengths 5.605, 7.178, 8.065 Å; angles 107.61, 90.00, 112.98 degrees
Element x y z (fractional)
Ba 0.500 0.000 0.000
Ba 0.859 0.717 0.182
Ba 0.159 0.317 0.321
Ba 0.141 0.283 0.818
Ba 0.841 0.683 0.679
H 0.313 0.626 0.129
H 0.687 0.374 0.871
H 0.687 0.373 0.310
H 0.313 0.627 0.690
H 0.000 0.000 0.500
N 0.000 0.000 0.000

Output
Space-group type   C2/m, No. 12
ρ   4.2 g/cm³
Magnetic moment   0.00 μB per atom
Final energy   -3.50 eV/atom



Record 5
Entry from Alexandria via LeMat-Bulk: an optimized crystal structure of SrTaTcO6 (PBE).

Cell lengths 4.983, 4.983, 9.726 Å; angles 90.00, 90.00, 90.00 degrees
Element x y z (fractional)
O 0.723 0.723 0.300
O 0.667 0.667 0.002
O 0.223 0.777 0.800
O 0.225 0.775 0.199
O 0.167 0.833 0.502
O 0.833 0.167 0.502
O 0.333 0.333 0.002
O 0.775 0.225 0.199
O 0.777 0.223 0.800
O 0.725 0.725 0.699
O 0.277 0.277 0.300
O 0.275 0.275 0.699
Tc 0.000 0.000 0.668
Tc 0.500 0.500 0.168
Ta 0.500 0.500 0.833
Ta 0.000 0.000 0.333
Sr 0.000 0.000 0.996
Sr 0.500 0.500 0.496

Output
Space-group type   P4_2nm, No. 102
ρ   6.4 g/cm³
Magnetic moment   0.22 μB per atom
Final energy   -8.19 eV/atom



Record 6
Entry from Alexandria via LeMat-Bulk: an optimized crystal structure of Th6Ge3Se2S (PBE).

Cell lengths 4.271, 8.420, 9.425 Å; angles 101.49, 103.09, 90.00 degrees
Element x y z (fractional)
Ge 0.831 0.166 0.663
Ge 0.500 0.500 0.000
Ge 0.169 0.834 0.337
Th 0.665 0.588 0.329
Th 0.335 0.412 0.671
Th 0.336 0.923 0.672
Th 0.997 0.244 0.995
Th 0.003 0.756 0.005
Th 0.664 0.077 0.328
Se 0.166 0.333 0.333
Se 0.834 0.667 0.667
S 0.500 0.000 0.000

Output
Space-group type   C2/m, No. 12
ρ   9.3 g/cm³
Magnetic moment   0.00 μB per atom
Final energy   -7.04 eV/atom



Record 7
Entry from Alexandria via LeMat-Bulk: an optimized crystal structure of TiCoAs2Se (PBE).

Cell lengths 4.446, 4.446, 4.885 Å; angles 90.00, 90.00, 90.00 degrees
Element x y z (fractional)
Co 0.000 0.000 0.000
As 0.000 0.500 0.000
As 0.500 0.000 0.000
Se 0.000 0.000 0.500
Ti 0.500 0.500 0.500

Output
Energy relative to the lowest polymorph listed for this composition   0.000 eV/atom
Space-group type   P4/mmm, No. 123
ρ   5.8 g/cm³
Magnetic moment   0.00 μB per atom



Record 8
Entry from Alexandria via LeMat-Bulk: an optimized crystal structure of Ce2PrIr (PBE).

Cell lengths 3.956, 3.956, 9.311 Å; angles 77.73, 77.73, 60.00 degrees
Element x y z (fractional)
Ir 0.666 0.666 0.001
Ce 0.274 0.274 0.179
Ce 0.060 0.060 0.821
Pr 0.501 0.501 0.498

Output
Energy relative to the lowest polymorph listed for this composition   0.105 eV/atom
Space-group type   R3m, No. 160
ρ   8.3 g/cm³
Magnetic moment   0.01 μB per atom
ΔH_f (0 K)   -0.3052 eV per atom